1.
# ZrScAgSn (GGA-PBE, optimized geometry)
# DOS(E_F) = 3.341 states/eV/f.u.
# spin magnetization = 0.000 μB/f.u.
# energy relative to the elements = -33.3 kJ per mole of atoms
# space-group type = F-43m, No. 216
# calculated total energy = -5.7781 eV per atom
# crystal system = cubic
data_ZrScAgSn
_chemical_formula_sum 'Zr1 Sc1 Ag1 Sn1'
_space_group_name_H-M_alt 'P 1'
_space_group_IT_number 1
_cell_length_a 4.934
_cell_length_b 4.934
_cell_length_c 4.934
_cell_angle_alpha 60.00
_cell_angle_beta 60.00
_cell_angle_gamma 60.00
loop_
_space_group_symop_operation_xyz
'x,y,z'
loop_
_atom_site_label
_atom_site_type_symbol
_atom_site_fract_x
_atom_site_fract_y
_atom_site_fract_z
_atom_site_occupancy
Sn1 Sn 0.000 0.000 0.000 1
Ag1 Ag 0.500 0.500 0.500 1
Zr1 Zr 0.750 0.750 0.750 1
Sc1 Sc 0.250 0.250 0.250 1

2.
# SrScAg2 (GGA-PBE, optimized geometry)
# DOS(E_F) = 2.868 states/eV/f.u.
# spin magnetization = 0.000 μB/f.u.
# energy relative to the elements = 7.3 kJ per mole of atoms
# ΔE to the lowest computed polymorph = 1.22 eV per formula unit
# space-group type = F-43m, No. 216
# calculated total energy = -3.3538 eV per atom
# crystal system = cubic
data_SrScAg2
_chemical_formula_sum 'Sr1 Sc1 Ag2'
_space_group_name_H-M_alt 'P 1'
_space_group_IT_number 1
_cell_length_a 5.061
_cell_length_b 5.061
_cell_length_c 5.061
_cell_angle_alpha 60.00
_cell_angle_beta 60.00
_cell_angle_gamma 60.00
loop_
_space_group_symop_operation_xyz
'x,y,z'
loop_
_atom_site_label
_atom_site_type_symbol
_atom_site_fract_x
_atom_site_fract_y
_atom_site_fract_z
_atom_site_occupancy
Ag1 Ag 0.250 0.250 0.250 1
Ag2 Ag 0.000 0.000 0.000 1
Sr1 Sr 0.750 0.750 0.750 1
Sc1 Sc 0.500 0.500 0.500 1

3.
# Sr2ScAg (GGA-PBE, optimized geometry)
# DOS(E_F) = 4.902 states/eV/f.u.
# spin magnetization = 0.000 μB/f.u.
# energy relative to the elements = -0.8 kJ per mole of atoms
# ΔE to the lowest computed polymorph = 0.00 eV per formula unit
# space-group type = P4mm, No. 99
# calculated total energy = -3.1452 eV per atom
# crystal system = tetragonal
data_Sr2ScAg
_chemical_formula_sum 'Sr2 Sc1 Ag1'
_space_group_name_H-M_alt 'P 1'
_space_group_IT_number 1
_cell_length_a 3.771
_cell_length_b 3.771
_cell_length_c 9.699
_cell_angle_alpha 90.00
_cell_angle_beta 90.00
_cell_angle_gamma 90.00
loop_
_space_group_symop_operation_xyz
'x,y,z'
loop_
_atom_site_label
_atom_site_type_symbol
_atom_site_fract_x
_atom_site_fract_y
_atom_site_fract_z
_atom_site_occupancy
Sr1 Sr 0.000 0.000 0.956 1
Sr2 Sr 0.500 0.500 0.317 1
Ag1 Ag 0.000 0.000 0.552 1
Sc1 Sc 0.500 0.500 0.676 1

4.
# SrScAg2 (GGA-PBE, optimized geometry)
# DOS(E_F) = 2.073 states/eV/f.u.
# spin magnetization = 0.000 μB/f.u.
# energy relative to the elements = -6.1 kJ per mole of atoms
# ΔE to the lowest computed polymorph = 0.67 eV per formula unit
# space-group type = P4mm, No. 99
# calculated total energy = -3.4922 eV per atom
# crystal system = tetragonal
data_SrScAg2
_chemical_formula_sum 'Sr1 Sc1 Ag2'
_space_group_name_H-M_alt 'P 1'
_space_group_IT_number 1
_cell_length_a 3.690
_cell_length_b 3.685
_cell_length_c 7.603
_cell_angle_alpha 90.00
_cell_angle_beta 90.00
_cell_angle_gamma 90.00
loop_
_space_group_symop_operation_xyz
'x,y,z'
loop_
_atom_site_label
_atom_site_type_symbol
_atom_site_fract_x
_atom_site_fract_y
_atom_site_fract_z
_atom_site_occupancy
Ag1 Ag 0.500 0.500 0.244 1
Ag2 Ag 0.000 0.000 0.049 1
Sc1 Sc 0.000 0.000 0.421 1
Sr1 Sr 0.500 0.500 0.786 1

5.
# Sr3ScAg (GGA-PBE, optimized geometry)
# DOS(E_F) = 3.821 states/eV/f.u.
# spin magnetization = 3.645 μB/f.u.
# energy relative to the elements = 72.7 kJ per mole of atoms
# ΔE to the lowest computed polymorph = 2.39 eV per formula unit
# space-group type = Pm-3m, No. 221
# calculated total energy = -2.0918 eV per atom
# crystal system = cubic
data_Sr3ScAg
_chemical_formula_sum 'Sr3 Sc1 Ag1'
_space_group_name_H-M_alt 'P 1'
_space_group_IT_number 1
_cell_length_a 6.319
_cell_length_b 6.319
_cell_length_c 6.319
_cell_angle_alpha 90.00
_cell_angle_beta 90.00
_cell_angle_gamma 90.00
loop_
_space_group_symop_operation_xyz
'x,y,z'
loop_
_atom_site_label
_atom_site_type_symbol
_atom_site_fract_x
_atom_site_fract_y
_atom_site_fract_z
_atom_site_occupancy
Sr1 Sr 0.000 0.500 0.000 1
Sr2 Sr 0.000 0.000 0.500 1
Sr3 Sr 0.500 0.000 0.000 1
Ag1 Ag 0.500 0.500 0.500 1
Sc1 Sc 0.000 0.000 0.000 1

6.
# Sr2ScAg (GGA-PBE, optimized geometry)
# DOS(E_F) = 3.372 states/eV/f.u.
# spin magnetization = 0.001 μB/f.u.
# energy relative to the elements = 14.6 kJ per mole of atoms
# ΔE to the lowest computed polymorph = 0.64 eV per formula unit
# space-group type = Cmmm, No. 65
# calculated total energy = -2.9856 eV per atom
# crystal system = orthorhombic
data_Sr2ScAg
_chemical_formula_sum 'Sr2 Sc1 Ag1'
_space_group_name_H-M_alt 'P 1'
_space_group_IT_number 1
_cell_length_a 5.719
_cell_length_b 5.719
_cell_length_c 4.044
_cell_angle_alpha 90.01
_cell_angle_beta 90.01
_cell_angle_gamma 90.22
loop_
_space_group_symop_operation_xyz
'x,y,z'
loop_
_atom_site_label
_atom_site_type_symbol
_atom_site_fract_x
_atom_site_fract_y
_atom_site_fract_z
_atom_site_occupancy
Sr1 Sr 0.500 0.500 0.000 1
Sr2 Sr 0.000 0.000 0.000 1
Sc1 Sc 0.000 0.500 0.500 1
Ag1 Ag 0.500 0.000 0.500 1

7.
# SrScAg2 (GGA-PBE, optimized geometry)
# DOS(E_F) = 3.805 states/eV/f.u.
# spin magnetization = 0.000 μB/f.u.
# energy relative to the elements = -16.0 kJ per mole of atoms
# ΔE to the lowest computed polymorph = 0.26 eV per formula unit
# space-group type = R-3m, No. 166
# calculated total energy = -3.5947 eV per atom
# crystal system = trigonal
data_SrScAg2
_chemical_formula_sum 'Sr1 Sc1 Ag2'
_space_group_name_H-M_alt 'P 1'
_space_group_IT_number 1
_cell_length_a 4.875
_cell_length_b 4.875
_cell_length_c 6.001
_cell_angle_alpha 66.08
_cell_angle_beta 66.08
_cell_angle_gamma 60.04
loop_
_space_group_symop_operation_xyz
'x,y,z'
loop_
_atom_site_label
_atom_site_type_symbol
_atom_site_fract_x
_atom_site_fract_y
_atom_site_fract_z
_atom_site_occupancy
Ag1 Ag 0.454 0.454 0.639 1
Ag2 Ag 0.046 0.046 0.861 1
Sc1 Sc 0.750 0.750 0.750 1
Sr1 Sr 0.250 0.250 0.250 1

8.
# SrScAg2 (GGA-PBE, optimized geometry)
# DOS(E_F) = 3.310 states/eV/f.u.
# spin magnetization = 0.000 μB/f.u.
# energy relative to the elements = -22.2 kJ per mole of atoms
# ΔE to the lowest computed polymorph = 0.00 eV per formula unit
# space-group type = P2/m, No. 10
# calculated total energy = -3.6587 eV per atom
# crystal system = monoclinic
data_SrScAg2
_chemical_formula_sum 'Sr1 Sc1 Ag2'
_space_group_name_H-M_alt 'P 1'
_space_group_IT_number 1
_cell_length_a 3.600
_cell_length_b 3.666
_cell_length_c 8.348
_cell_angle_alpha 63.84
_cell_angle_beta 90.00
_cell_angle_gamma 90.00
loop_
_space_group_symop_operation_xyz
'x,y,z'
loop_
_atom_site_label
_atom_site_type_symbol
_atom_site_fract_x
_atom_site_fract_y
_atom_site_fract_z
_atom_site_occupancy
Ag1 Ag 0.000 0.551 0.449 1
Ag2 Ag 0.000 0.949 0.051 1
Sr1 Sr 0.500 0.750 0.750 1
Sc1 Sc 0.500 0.250 0.250 1

9.
# Sr2Sc2Ag (GGA-PBE, optimized geometry)
# DOS(E_F) = 5.724 states/eV/f.u.
# spin magnetization = 1.987 μB/f.u.
# energy relative to the elements = 20.5 kJ per mole of atoms
# space-group type = P4/mbm, No. 127
# calculated total energy = -3.5626 eV per atom
# crystal system = tetragonal
data_Sr2Sc2Ag
_chemical_formula_sum 'Sr4 Sc4 Ag2'
_space_group_name_H-M_alt 'P 1'
_space_group_IT_number 1
_cell_length_a 7.454
_cell_length_b 7.454
_cell_length_c 5.868
_cell_angle_alpha 90.00
_cell_angle_beta 90.00
_cell_angle_gamma 90.00
loop_
_space_group_symop_operation_xyz
'x,y,z'
loop_
_atom_site_label
_atom_site_type_symbol
_atom_site_fract_x
_atom_site_fract_y
_atom_site_fract_z
_atom_site_occupancy
Ag1 Ag 0.500 0.500 0.000 1
Ag2 Ag 0.000 0.000 0.000 1
Sc1 Sc 0.352 0.852 0.000 1
Sc2 Sc 0.852 0.648 0.000 1
Sc3 Sc 0.648 0.148 0.000 1
Sc4 Sc 0.148 0.352 0.000 1
Sr1 Sr 0.825 0.325 0.500 1
Sr2 Sr 0.675 0.825 0.500 1
Sr3 Sr 0.175 0.675 0.500 1
Sr4 Sr 0.325 0.175 0.500 1

10.
# Sr2ScAg (GGA-PBE, optimized geometry)
# DOS(E_F) = 4.290 states/eV/f.u.
# spin magnetization = 0.000 μB/f.u.
# energy relative to the elements = 23.8 kJ per mole of atoms
# ΔE to the lowest computed polymorph = 1.02 eV per formula unit
# space-group type = Fm-3m, No. 225
# calculated total energy = -2.8896 eV per atom
# crystal system = cubic
data_Sr2ScAg
_chemical_formula_sum 'Sr2 Sc1 Ag1'
_space_group_name_H-M_alt 'P 1'
_space_group_IT_number 1
_cell_length_a 5.750
_cell_length_b 5.750
_cell_length_c 5.750
_cell_angle_alpha 60.00
_cell_angle_beta 60.00
_cell_angle_gamma 60.00
loop_
_space_group_symop_operation_xyz
'x,y,z'
loop_
_atom_site_label
_atom_site_type_symbol
_atom_site_fract_x
_atom_site_fract_y
_atom_site_fract_z
_atom_site_occupancy
Sc1 Sc 0.000 0.000 0.000 1
Ag1 Ag 0.500 0.500 0.500 1
Sr1 Sr 0.750 0.750 0.750 1
Sr2 Sr 0.250 0.250 0.250 1

11.
# SrSc2Ag2 (GGA-PBE, optimized geometry)
# DOS(E_F) = 4.739 states/eV/f.u.
# spin magnetization = 0.258 μB/f.u.
# energy relative to the elements = -9.4 kJ per mole of atoms
# ΔE to the lowest computed polymorph = 0.00 eV per formula unit
# space-group type = I4/mmm, No. 139
# calculated total energy = -4.1067 eV per atom
# crystal system = tetragonal
data_SrSc2Ag2
_chemical_formula_sum 'Sr1 Sc2 Ag2'
_space_group_name_H-M_alt 'P 1'
_space_group_IT_number 1
_cell_length_a 4.470
_cell_length_b 4.470
_cell_length_c 7.392
_cell_angle_alpha 72.40
_cell_angle_beta 72.40
_cell_angle_gamma 90.00
loop_
_space_group_symop_operation_xyz
'x,y,z'
loop_
_atom_site_label
_atom_site_type_symbol
_atom_site_fract_x
_atom_site_fract_y
_atom_site_fract_z
_atom_site_occupancy
Ag1 Ag 0.608 0.608 0.784 1
Ag2 Ag 0.392 0.392 0.216 1
Sr1 Sr 0.000 0.000 0.000 1
Sc1 Sc 0.250 0.750 0.500 1
Sc2 Sc 0.750 0.250 0.500 1

12.
# Sr2ScAg (GGA-PBE, optimized geometry)
# DOS(E_F) = 5.520 states/eV/f.u.
# spin magnetization = 0.001 μB/f.u.
# energy relative to the elements = 30.9 kJ per mole of atoms
# ΔE to the lowest computed polymorph = 1.31 eV per formula unit
# space-group type = I-42d, No. 122
# calculated total energy = -2.8166 eV per atom
# crystal system = tetragonal
data_Sr2ScAg
_chemical_formula_sum 'Sr4 Sc2 Ag2'
_space_group_name_H-M_alt 'P 1'
_space_group_IT_number 1
_cell_length_a 9.236
_cell_length_b 9.236
_cell_length_c 7.336
_cell_angle_alpha 50.99
_cell_angle_beta 50.99
_cell_angle_gamma 90.00
loop_
_space_group_symop_operation_xyz
'x,y,z'
loop_
_atom_site_label
_atom_site_type_symbol
_atom_site_fract_x
_atom_site_fract_y
_atom_site_fract_z
_atom_site_occupancy
Sr1 Sr 0.069 0.625 0.250 1
Sr2 Sr 0.375 0.319 0.750 1
Sr3 Sr 0.875 0.931 0.750 1
Sr4 Sr 0.681 0.125 0.250 1
Sc1 Sc 0.500 0.500 0.000 1
Sc2 Sc 0.250 0.750 0.500 1
Ag1 Ag 0.000 0.000 0.000 1
Ag2 Ag 0.750 0.250 0.500 1

13.
# SrScAg2 (GGA-PBE, optimized geometry)
# DOS(E_F) = 3.540 states/eV/f.u.
# spin magnetization = 0.000 μB/f.u.
# energy relative to the elements = -2.2 kJ per mole of atoms
# ΔE to the lowest computed polymorph = 0.83 eV per formula unit
# space-group type = Imm2, No. 44
# calculated total energy = -3.4517 eV per atom
# crystal system = orthorhombic
data_SrScAg2
_chemical_formula_sum 'Sr1 Sc1 Ag2'
_space_group_name_H-M_alt 'P 1'
_space_group_IT_number 1
_cell_length_a 6.344
_cell_length_b 6.344
_cell_length_c 6.344
_cell_angle_alpha 148.02
_cell_angle_beta 131.95
_cell_angle_gamma 58.88
loop_
_space_group_symop_operation_xyz
'x,y,z'
loop_
_atom_site_label
_atom_site_type_symbol
_atom_site_fract_x
_atom_site_fract_y
_atom_site_fract_z
_atom_site_occupancy
Sc1 Sc 0.530 0.530 0.000 1
Ag1 Ag 0.973 0.973 0.000 1
Ag2 Ag 0.760 0.260 0.500 1
Sr1 Sr 0.237 0.737 0.500 1

14.
# SrScAg2 (GGA-PBE, optimized geometry)
# DOS(E_F) = 4.395 states/eV/f.u.
# spin magnetization = 0.001 μB/f.u.
# energy relative to the elements = 4.8 kJ per mole of atoms
# ΔE to the lowest computed polymorph = 1.12 eV per formula unit
# space-group type = I-4m2, No. 119
# calculated total energy = -3.3795 eV per atom
# crystal system = tetragonal
data_SrScAg2
_chemical_formula_sum 'Sr1 Sc1 Ag2'
_space_group_name_H-M_alt 'P 1'
_space_group_IT_number 1
_cell_length_a 5.964
_cell_length_b 5.964
_cell_length_c 5.964
_cell_angle_alpha 136.60
_cell_angle_beta 136.60
_cell_angle_gamma 63.05
loop_
_space_group_symop_operation_xyz
'x,y,z'
loop_
_atom_site_label
_atom_site_type_symbol
_atom_site_fract_x
_atom_site_fract_y
_atom_site_fract_z
_atom_site_occupancy
Ag1 Ag 0.000 0.000 0.000 1
Ag2 Ag 0.250 0.750 0.500 1
Sr1 Sr 0.750 0.250 0.500 1
Sc1 Sc 0.500 0.500 0.000 1